# 1
Crystalline ScTiCdSb2 at its relaxed geometry, computed with GGA-PBE.

As for the total energy: -3.886 eV/atom.

The space group is P4/mmm (No. 123) and the conventional cell measures 5.461, 5.461 and 5.035 Å, with angles of 90.00, 90.00 and 90.00 degrees. The inequivalent atoms are Sc at (0.000, 0.000, 0.000), Ti at (0.500, 0.500, 0.000), Cd at (0.500, 0.500, 0.500) and Sb at (0.000, 0.500, 0.500).

---

# 2
Crystalline Ba4In3 at its relaxed geometry, computed with GGA-PBE.

As for the total energy: -2.597 eV/atom. The value obtained for the calculated formation energy is -324.3 meV/atom.

The space group is R-3m (No. 166, hexagonal axes) and the conventional cell measures 6.0408, 6.0408 and 29.3633 Å, with angles of 90.00, 90.00 and 120.00 degrees. The inequivalent atoms are Ba at (0.0000, 0.0000, 0.1237), Ba at (0.0000, 0.0000, 0.3756), In at (0.0000, 0.0000, 0.2475) and In at (0.0000, 0.0000, 0.5000).

---

# 3
Crystalline SrNbSCl2 at its relaxed geometry, computed with GGA-PBE.

As for the energy relative to the lowest polymorph listed for this composition: 0.0 meV per atom. As for the total energy: -5.025 eV/atom.

The space group is P4/mmm (No. 123) and the conventional cell measures 4.993, 4.993 and 4.846 Å, with angles of 90.00, 90.00 and 90.00 degrees. The inequivalent atoms are Sr at (0.000, 0.000, 0.000), Nb at (0.500, 0.500, 0.500), S at (0.500, 0.500, 0.000) and Cl at (0.000, 0.500, 0.500).